Record 1
Density functional theory data (PBE) for a relaxed Hg4SI2Cl crystal.

Geometry as CIF:
```
data_Hg4SI2Cl
_chemical_formula_sum 'Hg8 S2 I4 Cl2'
_space_group_name_H-M_alt 'P m n 21'
_space_group_IT_number 31
_cell_length_a 8.4849
_cell_length_b 9.1073
_cell_length_c 7.5054
_cell_angle_alpha 90.00
_cell_angle_beta 90.00
_cell_angle_gamma 90.00
loop_
_space_group_symop_operation_xyz
'x,y,z'
'-x+1/2,-y,z+1/2'
'-x,y,z'
'x+1/2,-y,z+1/2'
loop_
_atom_site_label
_atom_site_type_symbol
_atom_site_fract_x
_atom_site_fract_y
_atom_site_fract_z
Hg1 Hg 0.0000 0.0667 0.0000
Hg2 Hg 0.0000 0.8110 0.6223
Hg3 Hg 0.1726 0.3212 0.4863
S1 S 0.0000 0.7981 0.9512
I1 I 0.2180 0.3189 0.9689
Cl1 Cl 0.0000 0.0183 0.3873
```

## Properties
**Uncorrected formation energy**: -0.16 eV per atom
**Magnetic moment**: 0.00 μB per atom

Record 2
Density functional theory data (PBE) for a relaxed HgSb2ICl crystal.

Geometry as CIF:
```
data_HgSb2ICl
_chemical_formula_sum 'Hg1 Sb2 I1 Cl1'
_space_group_name_H-M_alt 'P 4/m m m'
_space_group_IT_number 123
_space_group_name_Hall '-P 4 2'
_cell_length_a 5.3142
_cell_length_b 5.3142
_cell_length_c 7.0759
_cell_angle_alpha 90.00
_cell_angle_beta 90.00
_cell_angle_gamma 90.00
loop_
_atom_site_label
_atom_site_type_symbol
_atom_site_fract_x
_atom_site_fract_y
_atom_site_fract_z
Hg1 Hg 0.0000 0.0000 0.0000
Sb1 Sb 0.0000 0.5000 0.5000
I1 I 0.5000 0.5000 0.0000
Cl1 Cl 0.5000 0.5000 0.5000
```

## Properties
**Uncorrected formation energy**: 0.60 eV per atom
**Magnetic moment**: 0.44 μB per atom

Record 3
Density functional theory data (PBE) for a relaxed Hg4SbI2Cl crystal.

Geometry as CIF:
```
data_Hg4SbI2Cl
_chemical_formula_sum 'Hg16 Sb4 I8 Cl4'
_space_group_name_H-M_alt 'C 1 2/c 1'
_space_group_IT_number 15
_cell_length_a 12.1508
_cell_length_b 14.4668
_cell_length_c 8.4492
_cell_angle_alpha 90.00
_cell_angle_beta 134.00
_cell_angle_gamma 90.00
loop_
_space_group_symop_operation_xyz
'x,y,z'
'-x,-y,-z'
'-x,y,-z+1/2'
'x,-y,z+1/2'
'x+1/2,y+1/2,z'
'-x+1/2,-y+1/2,-z'
'-x+1/2,y+1/2,-z+1/2'
'x+1/2,-y+1/2,z+1/2'
loop_
_atom_site_label
_atom_site_type_symbol
_atom_site_fract_x
_atom_site_fract_y
_atom_site_fract_z
Hg1 Hg 0.0000 0.2002 0.0242
Hg2 Hg 0.2369 0.0113 0.9867
Sb1 Sb 0.0000 0.0000 0.0000
I1 I 0.0000 0.5000 0.0000
I2 I 0.2500 0.2500 0.0000
Cl1 Cl 0.2500 0.2500 0.5000
```

## Properties
**Uncorrected formation energy**: -0.15 eV per atom
**Magnetic moment**: 0.00 μB per atom